# 1
# SrCaGd4

Crystalline SrCaGd4 at its relaxed geometry (GGA-PBE, Alexandria).

```
SrCaGd4
1.0
6.870 0.000 0.000
3.435 5.950 0.000
3.435 1.983 5.610
Sr Ca Gd
1 1 4
Direct
0.250 0.250 0.250
0.000 0.000 0.000
0.626 0.626 0.123
0.626 0.123 0.626
0.626 0.626 0.626
0.123 0.626 0.626
```

Summary:
symmetry	No. 216
formation enthalpy at 0 K	0.19	eV per atom


# 2
# Sr2CaGd

Crystalline Sr2CaGd at its relaxed geometry (GGA-PBE, Alexandria).

```
Sr2CaGd
1.0
-2.431 -2.847 -0.944
0.280 -1.714 -3.448
8.108 -10.826 3.879
Sr Ca Gd
2 1 1
Direct
0.086 0.086 0.742
0.914 0.914 0.258
0.500 0.500 0.500
0.000 0.000 0.000
```

Summary:
symmetry	No. 166
formation enthalpy at 0 K	0.26	eV per atom


# 3
# CaTb2Gd

Crystalline CaTb2Gd at its relaxed geometry (GGA-PBE, Alexandria).

```
CaTb2Gd
1.0
-3.325 -0.590 1.335
1.459 -1.300 3.060
-0.055 9.498 4.063
Ca Gd Tb
1 1 2
Direct
0.500 0.500 0.500
0.500 0.500 0.000
0.000 0.000 0.768
0.000 0.000 0.232
```

Summary:
symmetry	No. 123
formation enthalpy at 0 K	0.07	eV per atom


# 4
# CaTbGd2

Crystalline CaTbGd2 at its relaxed geometry (GGA-PBE, Alexandria).

```
CaTbGd2
1.0
5.114 0.000 0.000
0.000 5.152 0.000
0.000 0.000 5.152
Ca Gd Tb
1 2 1
Direct
0.500 0.500 0.500
0.000 0.000 0.500
0.000 0.500 0.000
0.500 0.000 0.000
```

Summary:
symmetry	No. 123
formation enthalpy at 0 K	0.11	eV per atom


# 5
# CaTbGd2

Crystalline CaTbGd2 at its relaxed geometry (GGA-PBE, Alexandria).

```
CaTbGd2
1.0
-2.106 4.617 2.738
-3.986 3.295 -2.550
-5.431 -0.025 1.937
Ca Gd Tb
1 2 1
Direct
0.500 0.500 0.500
0.250 0.250 0.250
0.750 0.750 0.750
0.000 0.000 0.000
```

Summary:
symmetry	No. 225
formation enthalpy at 0 K	0.13	eV per atom


# 6
# CaTbGd

Crystalline CaTbGd at its relaxed geometry (GGA-PBE, Alexandria).

```
CaTbGd
1.0
-2.017 2.818 1.132
-0.365 -3.259 1.592
6.457 2.210 6.006
Ca Gd Tb
1 1 1
Direct
0.000 0.000 0.998
0.667 0.333 0.348
0.333 0.667 0.654
```

Summary:
symmetry	No. 156
formation enthalpy at 0 K	0.06	eV per atom


# 7
# CaTb2Gd

Crystalline CaTb2Gd at its relaxed geometry (GGA-PBE, Alexandria).

```
CaTb2Gd
1.0
5.759 0.000 0.000
2.880 4.988 0.000
2.880 1.663 4.702
Ca Gd Tb
1 1 2
Direct
0.500 0.500 0.500
0.000 0.000 0.000
0.250 0.250 0.250
0.750 0.750 0.750
```

Summary:
symmetry	No. 225
formation enthalpy at 0 K	0.16	eV per atom


# 8
# CaTbGd2

Crystalline CaTbGd2 at its relaxed geometry (GGA-PBE, Alexandria).

```
CaTbGd2
1.0
-2.671 0.836 2.207
-3.015 -1.901 -0.050
2.844 -8.101 9.387
Ca Gd Tb
1 2 1
Direct
0.000 0.000 0.000
0.091 0.091 0.728
0.909 0.909 0.272
0.500 0.500 0.500
```

Summary:
symmetry	No. 166
formation enthalpy at 0 K	0.14	eV per atom


# 9
# CaTbGd2

Crystalline CaTbGd2 at its relaxed geometry (GGA-PBE, Alexandria).

```
CaTbGd2
1.0
3.624 0.000 0.000
0.000 3.624 0.000
0.000 0.000 10.427
Ca Gd Tb
1 2 1
Direct
0.500 0.500 0.500
0.000 0.000 0.769
0.000 0.000 0.231
0.500 0.500 0.000
```

Summary:
symmetry	No. 123
formation enthalpy at 0 K	0.05	eV per atom


# 10
# CaTb2Gd

Crystalline CaTb2Gd at its relaxed geometry (GGA-PBE, Alexandria).

```
CaTb2Gd
1.0
-1.878 2.261 -1.996
-2.721 -1.190 -1.949
-9.359 2.401 8.364
Ca Gd Tb
1 1 2
Direct
0.000 0.000 0.000
0.500 0.500 0.500
0.091 0.091 0.727
0.909 0.909 0.273
```

Summary:
symmetry	No. 166
formation enthalpy at 0 K	0.16	eV per atom


# 11
# CaTb2Gd

Crystalline CaTb2Gd at its relaxed geometry (GGA-PBE, Alexandria).

```
CaTb2Gd
1.0
5.134 0.000 0.000
0.000 5.122 0.000
0.000 0.000 5.122
Ca Gd Tb
1 1 2
Direct
0.500 0.500 0.500
0.500 0.000 0.000
0.000 0.000 0.500
0.000 0.500 0.000
```

Summary:
symmetry	No. 123
formation enthalpy at 0 K	0.12	eV per atom


# 12
# CaTbGd

Crystalline CaTbGd at its relaxed geometry (GGA-PBE, Alexandria).

```
CaTbGd
1.0
-1.562 3.303 -0.313
-2.417 -0.896 2.608
6.808 1.588 4.276
Ca Gd Tb
1 1 1
Direct
0.001 0.001 0.003
0.323 0.323 0.646
0.676 0.676 0.351
```

Summary:
symmetry	No. 107
formation enthalpy at 0 K	0.06	eV per atom


# 13
# CaTbGdY

Crystalline CaTbGdY at its relaxed geometry (GGA-PBE, Alexandria).

```
CaTbGdY
1.0
5.766 0.000 0.000
2.883 4.994 0.000
2.883 1.665 4.708
Y Ca Gd Tb
1 1 1 1
Direct
0.000 0.000 0.000
0.250 0.250 0.250
0.750 0.750 0.750
0.500 0.500 0.500
```

Summary:
symmetry	No. 216
formation enthalpy at 0 K	0.16	eV per atom


# 14
# CaGd3Tc

Crystalline CaGd3Tc at its relaxed geometry (GGA-PBE, Alexandria).

```
CaGd3Tc
1.0
-4.584 -2.974 0.138
2.705 -4.056 2.471
-1.242 2.141 4.873
Ca Gd Tc
1 3 1
Direct
0.500 0.500 0.500
0.000 0.500 0.000
0.000 0.000 0.500
0.500 0.000 0.000
0.000 0.000 0.000
```

Summary:
symmetry	No. 221
formation enthalpy at 0 K	0.04	eV per atom


# 15
# CaGd2Th

Crystalline CaGd2Th at its relaxed geometry (GGA-PBE, Alexandria).

```
CaGd2Th
1.0
5.773 0.000 0.000
2.886 4.999 0.000
2.886 1.666 4.713
Ca Gd Th
1 2 1
Direct
0.500 0.500 0.500
0.250 0.250 0.250
0.750 0.750 0.750
0.000 0.000 0.000
```

Summary:
symmetry	No. 225
formation enthalpy at 0 K	0.20	eV per atom


# 16
# CaGdTh

Crystalline CaGdTh at its relaxed geometry (GGA-PBE, Alexandria).

```
CaGdTh
1.0
3.632 0.000 0.000
-1.816 3.145 0.000
0.000 0.000 9.101
Ca Gd Th
1 1 1
Direct
0.000 0.000 0.996
0.667 0.333 0.349
0.333 0.667 0.655
```

Summary:
symmetry	No. 156
formation enthalpy at 0 K	0.09	eV per atom


# 17
# CaGd2Th

Crystalline CaGd2Th at its relaxed geometry (GGA-PBE, Alexandria).

```
CaGd2Th
1.0
-2.910 -0.917 1.980
1.595 -3.145 0.889
4.272 4.535 8.379
Ca Gd Th
1 2 1
Direct
0.500 0.500 0.500
0.000 0.000 0.775
0.000 0.000 0.225
0.500 0.500 0.000
```

Summary:
symmetry	No. 123
formation enthalpy at 0 K	0.04	eV per atom


# 18
# CaGd2Th

Crystalline CaGd2Th at its relaxed geometry (GGA-PBE, Alexandria).

```
CaGd2Th
1.0
3.586 0.000 0.000
1.793 3.106 0.000
1.793 1.035 12.468
Ca Gd Th
1 2 1
Direct
0.000 0.000 0.000
0.092 0.092 0.724
0.908 0.908 0.276
0.500 0.500 0.500
```

Summary:
symmetry	No. 166
formation enthalpy at 0 K	0.13	eV per atom


# 19
# CaGd2Th

Crystalline CaGd2Th at its relaxed geometry (GGA-PBE, Alexandria).

```
CaGd2Th
1.0
-1.706 -2.975 1.561
3.872 -3.663 -2.749
3.688 0.359 4.716
Ca Gd Th
1 2 1
Direct
0.500 0.000 0.000
0.000 0.000 0.500
0.000 0.500 0.000
0.500 0.500 0.500
```

Summary:
symmetry	No. 123
formation enthalpy at 0 K	0.18	eV per atom


# 20
# CaGdTh

Crystalline CaGdTh at its relaxed geometry (GGA-PBE, Alexandria).

```
CaGdTh
1.0
3.583 0.000 0.000
0.000 3.583 0.000
-1.791 -1.791 8.172
Ca Gd Th
1 1 1
Direct
0.998 0.998 0.995
0.678 0.678 0.356
0.324 0.324 0.649
```

Summary:
symmetry	No. 107
formation enthalpy at 0 K	0.10	eV per atom


# 21
# CaGd2Ti

Crystalline CaGd2Ti at its relaxed geometry (GGA-PBE, Alexandria).

```
CaGd2Ti
1.0
-0.256 -2.449 2.712
-2.374 -1.955 -1.990
6.935 -4.736 -3.622
Ca Gd Ti
1 2 1
Direct
0.500 0.500 0.500
0.000 0.000 0.804
0.000 0.000 0.196
0.500 0.500 0.000
```

Summary:
symmetry	No. 123
formation enthalpy at 0 K	0.17	eV per atom


# 22
# CaGd2Ti

Crystalline CaGd2Ti at its relaxed geometry (GGA-PBE, Alexandria).

```
CaGd2Ti
1.0
-0.419 3.107 1.309
-2.119 0.470 2.613
8.253 -0.844 9.051
Ca Gd Ti
1 2 1
Direct
0.500 0.500 0.500
0.079 0.079 0.763
0.921 0.921 0.237
0.000 0.000 0.000
```

Summary:
symmetry	No. 166
formation enthalpy at 0 K	0.51	eV per atom


# 23
# CaGd2Tl

Crystalline CaGd2Tl at its relaxed geometry (GGA-PBE, Alexandria).

```
CaGd2Tl
1.0
3.627 0.000 0.000
1.814 3.141 0.000
1.814 1.047 11.891
Tl Gd Ca
1 2 1
Direct
0.500 0.500 0.500
0.096 0.096 0.711
0.904 0.904 0.289
0.000 0.000 0.000
```

Summary:
symmetry	No. 166
formation enthalpy at 0 K	0.05	eV per atom


# 24
# CaGd2Tl

Crystalline CaGd2Tl at its relaxed geometry (GGA-PBE, Alexandria).

```
CaGd2Tl
1.0
4.941 0.000 0.000
0.000 4.927 0.000
0.000 0.000 4.927
Tl Gd Ca
1 2 1
Direct
0.500 0.500 0.500
0.000 0.000 0.500
0.000 0.500 0.000
0.500 0.000 0.000
```

Summary:
symmetry	No. 123
formation enthalpy at 0 K	-0.18	eV per atom


# 25
# CaGdTl2

Crystalline CaGdTl2 at its relaxed geometry (GGA-PBE, Alexandria).

```
CaGdTl2
1.0
3.817 0.000 0.000
0.000 3.817 0.000
0.000 0.000 7.865
Tl Gd Ca
2 1 1
Direct
0.000 0.000 0.751
0.000 0.000 0.249
0.500 0.500 0.000
0.500 0.500 0.500
```

Summary:
symmetry	No. 123
formation enthalpy at 0 K	-0.42	eV per atom


# 26
# CaGd2Tl

Crystalline CaGd2Tl at its relaxed geometry (GGA-PBE, Alexandria).

```
CaGd2Tl
1.0
-3.498 0.047 1.133
-1.012 -1.789 -3.049
1.347 -8.443 4.506
Tl Gd Ca
1 2 1
Direct
0.500 0.500 0.000
0.000 0.000 0.788
0.000 0.000 0.212
0.500 0.500 0.500
```

Summary:
symmetry	No. 123
formation enthalpy at 0 K	-0.13	eV per atom


# 27
# CaGd2Tl

Crystalline CaGd2Tl at its relaxed geometry (GGA-PBE, Alexandria).

```
CaGd2Tl
1.0
-4.118 -2.618 -2.661
0.672 -1.586 -5.284
0.482 -5.396 -1.242
Tl Gd Ca
1 2 1
Direct
0.500 0.500 0.500
0.250 0.250 0.250
0.750 0.750 0.750
0.000 0.000 0.000
```

Summary:
symmetry	No. 225
formation enthalpy at 0 K	-0.08	eV per atom


# 28
# CaGdTl2

Crystalline CaGdTl2 at its relaxed geometry (GGA-PBE, Alexandria).

```
CaGdTl2
1.0
3.761 0.000 0.000
1.880 3.257 0.000
1.880 1.086 10.021
Tl Gd Ca
2 1 1
Direct
0.250 0.250 0.249
0.750 0.750 0.751
0.000 0.000 0.000
0.500 0.500 0.500
```

Summary:
symmetry	No. 166
formation enthalpy at 0 K	-0.27	eV per atom


# 29
# CaGdTmTl

Crystalline CaGdTmTl at its relaxed geometry (GGA-PBE, Alexandria).

```
CaGdTmTl
1.0
5.509 0.000 0.000
2.755 4.771 0.000
2.755 1.590 4.498
Gd Tl Tm Ca
1 1 1 1
Direct
0.000 0.000 0.000
0.250 0.250 0.250
0.500 0.500 0.500
0.750 0.750 0.750
```

Summary:
symmetry	No. 216
formation enthalpy at 0 K	-0.03	eV per atom


# 30
# Ca2GdTm

Crystalline Ca2GdTm at its relaxed geometry (GGA-PBE, Alexandria).

```
Ca2GdTm
1.0
3.578 0.000 0.000
1.789 3.099 0.000
1.789 1.033 12.968
Gd Ca Tm
1 2 1
Direct
0.500 0.500 0.500
0.087 0.087 0.739
0.913 0.913 0.261
0.000 0.000 0.000
```

Summary:
symmetry	No. 166
formation enthalpy at 0 K	0.26	eV per atom


# 31
# CaGdTm4

Crystalline CaGdTm4 at its relaxed geometry (GGA-PBE, Alexandria).

```
CaGdTm4
1.0
6.599 0.000 0.000
3.300 5.715 0.000
3.300 1.905 5.388
Gd Ca Tm
1 1 4
Direct
0.000 0.000 0.000
0.250 0.250 0.250
0.626 0.626 0.123
0.626 0.123 0.626
0.626 0.626 0.626
0.123 0.626 0.626
```

Summary:
symmetry	No. 216
formation enthalpy at 0 K	0.21	eV per atom